(1)
# GGA-PBE MnIn2GePd, relaxed
# Magnetic moment in μB/atom: 0.00
# Fermi-level density of states in states/eV per atom: 0.6547
# Formation energy from the elements in eV per atom: 0.7186
data_MnIn2GePd
_cell_length_a 4.953
_cell_length_b 4.953
_cell_length_c 4.657
_cell_angle_alpha 90.00
_cell_angle_beta 90.00
_cell_angle_gamma 90.00
_symmetry_space_group_name_H-M 'P 4/m m m'
_symmetry_Int_Tables_number 123
_symmetry_space_group_name_Hall '-P 4 2'
loop_
_atom_site_label
_atom_site_type_symbol
_atom_site_fract_x
_atom_site_fract_y
_atom_site_fract_z
Mn1 Mn 0.000 0.000 0.000
In1 In 0.000 0.500 0.000
Ge1 Ge 0.500 0.500 0.500
Pd1 Pd 0.000 0.000 0.500



(2)
# GGA-PBE RbMnIn2Ge, relaxed
# Magnetic moment in μB/atom: 0.00
# Fermi-level density of states in states/eV per atom: 0.0595
# Formation energy from the elements in eV per atom: 0.0324
data_RbMnIn2Ge
_cell_length_a 5.166
_cell_length_b 5.166
_cell_length_c 4.703
_cell_angle_alpha 90.00
_cell_angle_beta 90.00
_cell_angle_gamma 90.00
_symmetry_space_group_name_H-M 'P 4/m m m'
_symmetry_Int_Tables_number 123
_symmetry_space_group_name_Hall '-P 4 2'
loop_
_atom_site_label
_atom_site_type_symbol
_atom_site_fract_x
_atom_site_fract_y
_atom_site_fract_z
Rb1 Rb 0.000 0.000 0.000
Mn1 Mn 0.500 0.500 0.500
In1 In 0.000 0.500 0.500
Ge1 Ge 0.500 0.500 0.000



(3)
# GGA-PBE Sc2MnInGe, relaxed
# Magnetic moment in μB/atom: 0.85
# Fermi-level density of states in states/eV per atom: 0.9622
# Formation energy from the elements in eV per atom: 0.3929
data_Sc2MnInGe
_cell_length_a 5.064
_cell_length_b 5.064
_cell_length_c 5.119
_cell_angle_alpha 90.00
_cell_angle_beta 90.00
_cell_angle_gamma 90.00
_symmetry_space_group_name_H-M 'P 4/m m m'
_symmetry_Int_Tables_number 123
_symmetry_space_group_name_Hall '-P 4 2'
loop_
_atom_site_label
_atom_site_type_symbol
_atom_site_fract_x
_atom_site_fract_y
_atom_site_fract_z
Sc1 Sc 0.000 0.500 0.000
Mn1 Mn 0.000 0.000 0.500
In1 In 0.500 0.500 0.500
Ge1 Ge 0.500 0.500 0.000



Which formula does entry 3 have? Sc2MnInGe